(1)
## GdMgAu (PBE)

Data for a relaxed GdMgAu crystal.

Unit cell a=7.9184 b=7.9184 c=4.0449 alpha=90.00 beta=90.00 gamma=120.00
Sites, in units of the cell vectors:
1 Gd 0.0000 0.2695 0.0000
2 Gd 0.2695 0.0000 0.0000
3 Gd 0.7305 0.7305 0.0000
4 Mg 0.0000 0.6064 0.5000
5 Mg 0.3936 0.3936 0.5000
6 Mg 0.6064 0.0000 0.5000
7 Au 0.0000 0.0000 0.5000
8 Au 0.3333 0.6667 0.0000
9 Au 0.6667 0.3333 0.0000

Results
Space-group type: P-62m
Theoretical density: 8.585 g/cm3
DFT total energy: -3.66 eV per atom
Crystal system: hexagonal

(2)
## LaZr3F15 (PBE)

Data for a relaxed LaZr3F15 crystal.

Unit cell a=7.2992 b=7.2992 c=7.2992 alpha=113.02 beta=113.02 gamma=113.02
Sites, in units of the cell vectors:
1 La 0.0000 0.0000 0.0000
2 Zr 0.3668 0.3668 0.8114
3 Zr 0.3668 0.8114 0.3668
4 Zr 0.8114 0.3668 0.3668
5 F 0.0710 0.0710 0.7263
6 F 0.0710 0.7263 0.0710
7 F 0.1379 0.4714 0.6801
8 F 0.1379 0.6801 0.4714
9 F 0.1437 0.1437 0.4129
10 F 0.1437 0.4129 0.1437
11 F 0.4129 0.1437 0.1437
12 F 0.4714 0.1379 0.6801
13 F 0.4714 0.6801 0.1379
14 F 0.6203 0.6203 0.8273
15 F 0.6203 0.8273 0.6203
16 F 0.6801 0.1379 0.4714
17 F 0.6801 0.4714 0.1379
18 F 0.7263 0.0710 0.0710
19 F 0.8273 0.6203 0.6203

Results
Space-group type: R3m
Theoretical density: 4.586 g/cm3
DFT total energy: -6.82 eV per atom
Crystal system: trigonal